The following is a PBE calculation of a relaxed Pm2InAg5 crystal, from Alexandria via LeMat-Bulk.

abc: 5.107 5.107 13.837
angles: 90.00 90.00 90.00
Positions (direct):
Pm (0.000, 0.000, 0.249)
Pm (0.000, 0.000, 0.751)
Pm (0.500, 0.500, 0.251)
Pm (0.500, 0.500, 0.749)
In (0.000, 0.000, 0.500)
In (0.500, 0.500, 0.000)
Ag (0.000, 0.000, 0.000)
Ag (0.000, 0.500, 0.111)
Ag (0.000, 0.500, 0.389)
Ag (0.000, 0.500, 0.611)
Ag (0.000, 0.500, 0.889)
Ag (0.500, 0.000, 0.111)
Ag (0.500, 0.000, 0.389)
Ag (0.500, 0.000, 0.611)
Ag (0.500, 0.000, 0.889)
Ag (0.500, 0.500, 0.500)

The density of states at the Fermi level comes out at 0.56 states/eV per atom. The value obtained for the energy of formation is -0.1528 eV per atom. Its total energy is -3.465 eV per atom. The symmetry is I4/mmm (139).


The following is a PBE calculation of a relaxed Pm8In2Ag crystal, from Alexandria via LeMat-Bulk.

abc: 9.573 9.573 6.919
angles: 93.63 93.63 32.68
Positions (direct):
Pm (0.031, 0.031, 0.262)
Pm (0.212, 0.212, 0.106)
Pm (0.331, 0.331, 0.591)
Pm (0.409, 0.409, 0.089)
Pm (0.591, 0.591, 0.911)
Pm (0.669, 0.669, 0.409)
Pm (0.788, 0.788, 0.894)
Pm (0.969, 0.969, 0.738)
In (0.153, 0.153, 0.659)
In (0.847, 0.847, 0.341)
Ag (0.500, 0.500, 0.500)

The density of states at the Fermi level comes out at 1.22 states/eV per atom. The value obtained for the energy of formation is -0.2138 eV per atom. Its total energy is -4.426 eV per atom. The symmetry is C2/m (12).


The following is a PBE calculation of a relaxed Pm2In8Ag crystal, from Alexandria via LeMat-Bulk.

abc: 4.779 4.779 12.355
angles: 90.00 90.00 90.00
Positions (direct):
Pm (0.000, 0.000, 0.188)
Pm (0.000, 0.000, 0.812)
In (0.000, 0.500, 0.000)
In (0.000, 0.500, 0.370)
In (0.000, 0.500, 0.630)
In (0.500, 0.000, 0.000)
In (0.500, 0.000, 0.370)
In (0.500, 0.000, 0.630)
In (0.500, 0.500, 0.189)
In (0.500, 0.500, 0.811)
Ag (0.000, 0.000, 0.500)

The density of states at the Fermi level comes out at 0.40 states/eV per atom. The value obtained for the energy of formation is -0.3268 eV per atom. Its total energy is -3.441 eV per atom. The symmetry is P4/mmm (123).


The following is a PBE calculation of a relaxed Pm4In3Ag crystal, from Alexandria via LeMat-Bulk.

abc: 3.665 3.665 16.582
angles: 90.00 90.00 90.00
Positions (direct):
Pm (0.000, 0.000, 0.117)
Pm (0.000, 0.000, 0.372)
Pm (0.000, 0.000, 0.628)
Pm (0.000, 0.000, 0.883)
In (0.500, 0.500, 0.242)
In (0.500, 0.500, 0.500)
In (0.500, 0.500, 0.758)
Ag (0.500, 0.500, 0.000)

The density of states at the Fermi level comes out at 0.82 states/eV per atom. The value obtained for the energy of formation is -0.4396 eV per atom. Its total energy is -4.198 eV per atom. The symmetry is P4/mmm (123).


The following is a PBE calculation of a relaxed Pm3In2Ag7 crystal, from Alexandria via LeMat-Bulk.

abc: 5.169 4.476 12.424
angles: 90.00 90.01 90.00
Positions (direct):
Pm (0.000, 0.000, 0.000)
Pm (0.467, 0.500, 0.332)
Pm (0.533, 0.500, 0.668)
In (0.001, 0.000, 0.292)
In (0.999, 0.000, 0.708)
Ag (0.091, 0.500, 0.837)
Ag (0.250, 0.000, 0.503)
Ag (0.500, 0.000, 0.151)
Ag (0.500, 0.000, 0.849)
Ag (0.500, 0.500, 0.000)
Ag (0.750, 0.000, 0.497)
Ag (0.909, 0.500, 0.163)

The density of states at the Fermi level comes out at 0.53 states/eV per atom. The value obtained for the energy of formation is -0.1967 eV per atom. Its total energy is -3.504 eV per atom. The symmetry is P2/m (10).


The following is a PBE calculation of a relaxed Pm2InAg crystal, from Alexandria via LeMat-Bulk.

abc: 7.615 7.615 7.615
angles: 90.00 90.00 90.00
Positions (direct):
Pm (0.250, 0.250, 0.250)
Pm (0.250, 0.250, 0.750)
Pm (0.250, 0.750, 0.250)
Pm (0.250, 0.750, 0.750)
Pm (0.750, 0.250, 0.250)
Pm (0.750, 0.250, 0.750)
Pm (0.750, 0.750, 0.250)
Pm (0.750, 0.750, 0.750)
In (0.000, 0.000, 0.000)
In (0.000, 0.500, 0.500)
In (0.500, 0.000, 0.500)
In (0.500, 0.500, 0.000)
Ag (0.000, 0.000, 0.500)
Ag (0.000, 0.500, 0.000)
Ag (0.500, 0.000, 0.000)
Ag (0.500, 0.500, 0.500)

The density of states at the Fermi level comes out at 1.03 states/eV per atom. The value obtained for the energy of formation is -0.3746 eV per atom. Its total energy is -4.147 eV per atom. The symmetry is Fm-3m (225).


The following is a PBE calculation of a relaxed PmPr2In2Ag2 crystal, from Alexandria via LeMat-Bulk.

abc: 9.610 9.610 9.610
angles: 29.67 29.67 29.67
Positions (direct):
Pm (0.000, 0.000, 0.000)
Pr (0.126, 0.126, 0.126)
Pr (0.874, 0.874, 0.874)
In (0.264, 0.264, 0.264)
In (0.736, 0.736, 0.736)
Ag (0.395, 0.395, 0.395)
Ag (0.605, 0.605, 0.605)

The density of states at the Fermi level comes out at 0.79 states/eV per atom. The value obtained for the energy of formation is -0.3114 eV per atom. Its total energy is -3.953 eV per atom. The symmetry is R-3m (166).


The following is a PBE calculation of a relaxed PmPuInAg crystal, from Alexandria via LeMat-Bulk.

abc: 7.555 7.555 7.555
angles: 90.00 90.00 90.00
Positions (direct):
Pm (0.000, 0.000, 0.000)
Pm (0.000, 0.500, 0.500)
Pm (0.500, 0.000, 0.500)
Pm (0.500, 0.500, 0.000)
Pu (0.000, 0.000, 0.500)
Pu (0.000, 0.500, 0.000)
Pu (0.500, 0.000, 0.000)
Pu (0.500, 0.500, 0.500)
In (0.250, 0.250, 0.750)
In (0.250, 0.750, 0.250)
In (0.750, 0.250, 0.250)
In (0.750, 0.750, 0.750)
Ag (0.250, 0.250, 0.250)
Ag (0.250, 0.750, 0.750)
Ag (0.750, 0.250, 0.750)
Ag (0.750, 0.750, 0.250)

The density of states at the Fermi level comes out at 2.94 states/eV per atom. The value obtained for the energy of formation is -0.1416 eV per atom. Its total energy is -6.310 eV per atom. The symmetry is F-43m (216).


The following is a PBE calculation of a relaxed PmInAg2S4 crystal, from Alexandria via LeMat-Bulk.

abc: 7.862 7.862 7.698
angles: 119.22 119.22 87.49
Positions (direct):
Pm (0.000, 0.500, 0.000)
Pm (0.500, 0.000, 0.500)
In (0.000, 0.000, 0.000)
In (0.000, 0.000, 0.500)
Ag (0.000, 0.500, 0.500)
Ag (0.500, 0.000, 0.000)
Ag (0.500, 0.500, 0.000)
Ag (0.500, 0.500, 0.500)
S (0.207, 0.223, 0.465)
S (0.223, 0.207, 0.965)
S (0.262, 0.737, 0.496)
S (0.263, 0.738, 0.004)
S (0.737, 0.262, 0.996)
S (0.738, 0.263, 0.504)
S (0.777, 0.793, 0.035)
S (0.793, 0.777, 0.535)

The density of states at the Fermi level comes out at 0.00 states/eV per atom. Its total energy is -4.486 eV per atom. The formation energy without anion corrections is -0.77 eV per atom. The symmetry is C2/c (15).


The following is a PBE calculation of a relaxed Pm3InAg3S8 crystal, from Alexandria via LeMat-Bulk.

abc: 7.654 7.654 7.886
angles: 117.08 117.08 64.65
Positions (direct):
Pm (0.000, 0.000, 0.000)
Pm (0.000, 0.500, 0.500)
Pm (0.500, 0.000, 0.500)
In (0.500, 0.500, 0.000)
Ag (0.000, 0.500, 0.000)
Ag (0.500, 0.000, 0.000)
Ag (0.500, 0.500, 0.500)
S (0.253, 0.253, 0.262)
S (0.256, 0.728, 0.229)
S (0.259, 0.259, 0.761)
S (0.272, 0.744, 0.771)
S (0.728, 0.256, 0.229)
S (0.741, 0.741, 0.239)
S (0.744, 0.272, 0.771)
S (0.747, 0.747, 0.738)

The density of states at the Fermi level comes out at 0.59 states/eV per atom. Its total energy is -4.943 eV per atom. The formation energy without anion corrections is -1.04 eV per atom. The symmetry is C2/m (12).


The following is a PBE calculation of a relaxed Pm2InAgS5 crystal, from Alexandria via LeMat-Bulk.

abc: 8.893 8.893 11.371
angles: 90.00 90.00 154.04
Positions (direct):
Pm (0.119, 0.881, 0.500)
Pm (0.124, 0.876, 0.878)
Pm (0.876, 0.124, 0.378)
Pm (0.881, 0.119, 0.000)
In (0.413, 0.587, 0.678)
In (0.587, 0.413, 0.178)
Ag (0.228, 0.772, 0.204)
Ag (0.772, 0.228, 0.704)
S (0.033, 0.967, 0.278)
S (0.300, 0.700, 0.530)
S (0.304, 0.696, 0.861)
S (0.371, 0.629, 0.193)
S (0.488, 0.512, 0.483)
S (0.512, 0.488, 0.983)
S (0.629, 0.371, 0.693)
S (0.696, 0.304, 0.361)
S (0.700, 0.300, 0.030)
S (0.967, 0.033, 0.778)

Its total energy is -5.230 eV per atom. The formation energy without anion corrections is -1.26 eV per atom. The symmetry is Cmc2_1 (36).


The following is a PBE calculation of a relaxed Pm3InAg4S8 crystal, from Alexandria via LeMat-Bulk.

abc: 8.373 8.373 9.354
angles: 121.51 121.51 59.26
Positions (direct):
Pm (0.000, 0.000, 0.000)
Pm (0.000, 0.500, 0.000)
Pm (0.500, 0.000, 0.000)
In (0.500, 0.500, 0.000)
Ag (0.000, 0.000, 0.500)
Ag (0.000, 0.500, 0.500)
Ag (0.500, 0.000, 0.500)
Ag (0.500, 0.500, 0.500)
S (0.091, 0.091, 0.810)
S (0.110, 0.583, 0.812)
S (0.413, 0.413, 0.190)
S (0.417, 0.890, 0.188)
S (0.583, 0.110, 0.812)
S (0.587, 0.587, 0.810)
S (0.890, 0.417, 0.188)
S (0.909, 0.909, 0.190)

Its total energy is -4.861 eV per atom. The formation energy without anion corrections is -1.02 eV per atom. The symmetry is C2/m (12).